Entry 1:
Crystalline CaCd2Pd at its relaxed geometry. Source: the Alexandria database, functional GGA-PBEsol.

Cell lengths 7.885, 8.028, 5.469 Å; angles 90.00, 90.00, 90.00 degrees
Space group Pnma (No. 62)
Asymmetric unit:
Ca (0.034, 0.250, 0.102) x4
Cd (0.173, 0.055, 0.595) x8
Pd (0.120, 0.750, 0.381) x4

Formation energy from the elements, eV/atom: -0.4985
Calculated volume, Å³/atom: 21.6
Crystal system: orthorhombic
M_tot, μB per formula unit: 0.000
Mass density, g cm⁻³: 7.12
Calculated total energy, eV per atom: -3.1200

---

Entry 2:
Crystalline CaPmCd2 at its relaxed geometry. Source: the Alexandria database, functional GGA-PBEsol.

Cell lengths 7.501, 7.501, 7.501 Å; angles 90.00, 90.00, 90.00 degrees
Space group Fm-3m (No. 225)
Asymmetric unit:
Ca (0.000, 0.000, 0.000) x4
Pm (0.000, 0.000, 0.500) x4
Cd (0.250, 0.250, 0.250) x8

Formation energy from the elements, eV/atom: -0.3713
Calculated volume, Å³/atom: 26.4
Crystal system: cubic
M_tot, μB per formula unit: 0.000
Mass density, g cm⁻³: 6.45
Calculated total energy, eV per atom: -2.7872

---

Entry 3:
Crystalline CaCdPt at its relaxed geometry. Source: the Alexandria database, functional GGA-PBEsol.

Cell lengths 7.090, 4.308, 8.433 Å; angles 90.00, 90.00, 90.00 degrees
Space group Pnma (No. 62)
Asymmetric unit:
Ca (0.035, 0.250, 0.178) x4
Cd (0.144, 0.250, 0.561) x4
Pt (0.243, 0.750, 0.372) x4

Formation energy from the elements, eV/atom: -0.6835
Calculated volume, Å³/atom: 21.5
Crystal system: orthorhombic
M_tot, μB per formula unit: 0.000
Mass density, g cm⁻³: 8.96
Calculated total energy, eV per atom: -4.1147

---

Entry 4:
Crystalline Ca3CdPt at its relaxed geometry. Source: the Alexandria database, functional GGA-PBEsol.

Cell lengths 5.454, 5.454, 5.454 Å; angles 90.00, 90.00, 90.00 degrees
Space group Pm-3m (No. 221)
Asymmetric unit:
Ca (0.000, 0.000, 0.500) x3
Cd (0.500, 0.500, 0.500) x1
Pt (0.000, 0.000, 0.000) x1

Formation energy from the elements, eV/atom: -0.4072
Calculated volume, Å³/atom: 32.4
Crystal system: cubic
M_tot, μB per formula unit: 0.000
Mass density, g cm⁻³: 4.38
Calculated total energy, eV per atom: -3.3192

---

Entry 5:
Crystalline Ca2CdPt2 at its relaxed geometry. Source: the Alexandria database, functional GGA-PBEsol.

Cell lengths 4.436, 5.798, 8.435 Å; angles 90.00, 90.00, 90.00 degrees
Space group Immm (No. 71)
Asymmetric unit:
Ca (0.000, 0.000, 0.201) x4
Cd (0.000, 0.500, 0.000) x2
Pt (0.000, 0.274, 0.500) x4

Formation energy from the elements, eV/atom: -0.7806
Calculated volume, Å³/atom: 21.7
Crystal system: orthorhombic
M_tot, μB per formula unit: 0.000
Mass density, g cm⁻³: 8.92
Calculated total energy, eV per atom: -4.6587

---

Entry 6:
Crystalline RbCaCd3 at its relaxed geometry. Source: the Alexandria database, functional GGA-PBEsol.

Cell lengths 5.948, 5.948, 5.948 Å; angles 90.00, 90.00, 90.00 degrees
Space group Pm-3m (No. 221)
Asymmetric unit:
Rb (0.000, 0.000, 0.000) x1
Ca (0.500, 0.500, 0.500) x1
Cd (0.000, 0.500, 0.500) x3

Formation energy from the elements, eV/atom: 0.3018
Calculated volume, Å³/atom: 42.1
Crystal system: cubic
M_tot, μB per formula unit: 0.000
Mass density, g cm⁻³: 3.65
Calculated total energy, eV per atom: -1.0480

---

Entry 7:
Crystalline Rb2CaCdRe at its relaxed geometry. Source: the Alexandria database, functional GGA-PBEsol.

Cell lengths 6.350, 6.350, 5.320 Å; angles 90.00, 90.00, 90.00 degrees
Space group P4/mmm (No. 123)
Asymmetric unit:
Rb (0.000, 0.500, 0.000) x2
Ca (0.000, 0.000, 0.500) x1
Cd (0.500, 0.500, 0.500) x1
Re (0.500, 0.500, 0.000) x1

Formation energy from the elements, eV/atom: 1.3761
Calculated volume, Å³/atom: 42.9
Crystal system: tetragonal
M_tot, μB per formula unit: 2.562
Mass density, g cm⁻³: 3.94
Calculated total energy, eV per atom: -2.3665

---

Entry 8:
Crystalline Ca2CdRh at its relaxed geometry. Source: the Alexandria database, functional GGA-PBEsol.

Cell lengths 3.375, 5.005, 11.158 Å; angles 90.00, 90.00, 90.00 degrees
Space group Imm2 (No. 44)
Asymmetric unit:
Ca (0.000, 0.000, 0.000) x2
Ca (0.000, 0.500, 0.197) x2
Cd (0.000, 0.500, 0.794) x2
Rh (0.000, 0.000, 0.485) x2

Formation energy from the elements, eV/atom: -0.2293
Calculated volume, Å³/atom: 23.6
Crystal system: orthorhombic
M_tot, μB per formula unit: 0.000
Mass density, g cm⁻³: 5.21
Calculated total energy, eV per atom: -3.6297

---

Entry 9:
Crystalline CaCdRh2 at its relaxed geometry. Source: the Alexandria database, functional GGA-PBEsol.

Cell lengths 9.113, 2.981, 5.305 Å; angles 90.00, 100.91, 90.00 degrees
Space group C2/m (No. 12)
Asymmetric unit:
Ca (0.000, 0.000, 0.000) x2
Cd (0.000, 0.500, 0.500) x2
Rh (0.246, 0.000, 0.708) x4

Formation energy from the elements, eV/atom: -0.0245
Calculated volume, Å³/atom: 17.7
Crystal system: monoclinic
M_tot, μB per formula unit: 0.000
Mass density, g cm⁻³: 8.41
Calculated total energy, eV per atom: -4.9262

---

Entry 10:
Crystalline CaCdRh at its relaxed geometry. Source: the Alexandria database, functional GGA-PBEsol.

Cell lengths 5.686, 5.734, 7.366 Å; angles 90.00, 90.00, 90.00 degrees
Space group Imma (No. 74)
Asymmetric unit:
Ca (0.000, 0.250, 0.145) x4
Cd (0.250, 0.250, 0.750) x4
Rh (0.000, 0.000, 0.500) x4

Formation energy from the elements, eV/atom: -0.3530
Calculated volume, Å³/atom: 20.0
Crystal system: orthorhombic
M_tot, μB per formula unit: 0.000
Mass density, g cm⁻³: 7.06
Calculated total energy, eV per atom: -4.1758

---

Entry 11:
Crystalline Ca2CdRh at its relaxed geometry. Source: the Alexandria database, functional GGA-PBEsol.

Cell lengths 4.358, 4.149, 10.892 Å; angles 90.00, 90.00, 90.00 degrees
Space group Amm2 (No. 38)
Asymmetric unit:
Ca (0.000, 0.000, 0.000) x2
Ca (0.500, 0.000, 0.285) x2
Cd (0.000, 0.000, 0.710) x2
Rh (0.500, 0.000, 0.568) x2

Formation energy from the elements, eV/atom: -0.2644
Calculated volume, Å³/atom: 24.6
Crystal system: orthorhombic
M_tot, μB per formula unit: 0.000
Mass density, g cm⁻³: 4.98
Calculated total energy, eV per atom: -3.6648

---

Entry 12:
Crystalline Ca2CdRh at its relaxed geometry. Source: the Alexandria database, functional GGA-PBEsol.

Cell lengths 3.454, 3.454, 7.573 Å; angles 90.00, 90.00, 90.00 degrees
Space group P4/mmm (No. 123)
Asymmetric unit:
Ca (0.000, 0.000, 0.214) x2
Cd (0.500, 0.500, 0.500) x1
Rh (0.500, 0.500, 0.000) x1

Formation energy from the elements, eV/atom: -0.2978
Calculated volume, Å³/atom: 22.6
Crystal system: tetragonal
M_tot, μB per formula unit: 0.000
Mass density, g cm⁻³: 5.43
Calculated total energy, eV per atom: -3.6982

---

Entry 13:
Crystalline CaCdRh at its relaxed geometry. Source: the Alexandria database, functional GGA-PBEsol.

Cell lengths 3.354, 3.354, 10.779 Å; angles 90.00, 90.00, 90.00 degrees
Space group I4mm (No. 107)
Asymmetric unit:
Ca (0.000, 0.000, 0.000) x2
Cd (0.000, 0.000, 0.290) x2
Rh (0.000, 0.000, 0.660) x2

Formation energy from the elements, eV/atom: -0.2230
Calculated volume, Å³/atom: 20.2
Crystal system: tetragonal
M_tot, μB per formula unit: 0.000
Mass density, g cm⁻³: 7.00
Calculated total energy, eV per atom: -4.0459

---

Entry 14:
Crystalline CaCdRh2 at its relaxed geometry. Source: the Alexandria database, functional GGA-PBEsol.

Cell lengths 3.0120, 3.0120, 26.2727 Å; angles 90.00, 90.00, 120.00 degrees
Space group R-3m (No. 166, hexagonal axes)
Asymmetric unit:
Ca (0.0000, 0.0000, 0.0000) x3
Cd (0.0000, 0.0000, 0.5000) x3
Rh (0.0000, 0.0000, 0.2484) x6

Formation energy from the elements, eV/atom: 0.1062
Calculated volume, Å³/atom: 17.2
Crystal system: trigonal
M_tot, μB per formula unit: 0.000
Mass density, g cm⁻³: 8.65
Calculated total energy, eV per atom: -4.7956

---

Entry 15:
Crystalline Ca2CdRh at its relaxed geometry. Source: the Alexandria database, functional GGA-PBEsol.

Cell lengths 6.980, 6.980, 6.980 Å; angles 90.00, 90.00, 90.00 degrees
Space group F-43m (No. 216)
Asymmetric unit:
Ca (0.000, 0.000, 0.000) x4
Ca (0.250, 0.250, 0.250) x4
Cd (0.250, 0.250, 0.750) x4
Rh (0.000, 0.000, 0.500) x4

Formation energy from the elements, eV/atom: -0.1343
Calculated volume, Å³/atom: 21.3
Crystal system: cubic
M_tot, μB per formula unit: 0.000
Mass density, g cm⁻³: 5.77
Calculated total energy, eV per atom: -3.5347

---

Entry 16:
Crystalline CaCdRh2 at its relaxed geometry. Source: the Alexandria database, functional GGA-PBEsol.

Cell lengths 3.039, 4.621, 9.998 Å; angles 90.00, 90.00, 90.00 degrees
Space group Imm2 (No. 44)
Asymmetric unit:
Ca (0.000, 0.000, 0.000) x2
Cd (0.000, 0.500, 0.783) x2
Rh (0.000, 0.000, 0.523) x2
Rh (0.000, 0.500, 0.234) x2

Formation energy from the elements, eV/atom: -0.1204
Calculated volume, Å³/atom: 17.6
Crystal system: orthorhombic
M_tot, μB per formula unit: 0.000
Mass density, g cm⁻³: 8.48
Calculated total energy, eV per atom: -5.0222

---

Entry 17:
Crystalline Ca2CdRu at its relaxed geometry. Source: the Alexandria database, functional GGA-PBEsol.

Cell lengths 3.547, 3.547, 7.856 Å; angles 90.00, 90.00, 90.00 degrees
Space group P4mm (No. 99)
Asymmetric unit:
Ca (0.000, 0.000, 0.000) x1
Ca (0.500, 0.500, 0.395) x1
Cd (0.000, 0.000, 0.630) x1
Ru (0.500, 0.500, 0.775) x1

Formation energy from the elements, eV/atom: 0.1573
Calculated volume, Å³/atom: 24.7
Crystal system: tetragonal
M_tot, μB per formula unit: 0.000
Mass density, g cm⁻³: 4.93
Calculated total energy, eV per atom: -3.7516

---

Entry 18:
Crystalline Ca2CdRu at its relaxed geometry. Source: the Alexandria database, functional GGA-PBEsol.

Cell lengths 3.3406, 3.3406, 28.8693 Å; angles 90.00, 90.00, 120.00 degrees
Space group R-3m (No. 166, hexagonal axes)
Asymmetric unit:
Ca (0.0000, 0.0000, 0.2366) x6
Cd (0.0000, 0.0000, 0.0000) x3
Ru (0.0000, 0.0000, 0.5000) x3

Formation energy from the elements, eV/atom: 0.2738
Calculated volume, Å³/atom: 23.3
Crystal system: trigonal
M_tot, μB per formula unit: 0.000
Mass density, g cm⁻³: 5.24
Calculated total energy, eV per atom: -3.6351

---

Entry 19:
Crystalline CaCd2Ru at its relaxed geometry. Source: the Alexandria database, functional GGA-PBEsol.

Cell lengths 6.763, 6.763, 6.763 Å; angles 90.00, 90.00, 90.00 degrees
Space group F-43m (No. 216)
Asymmetric unit:
Ca (0.000, 0.000, 0.000) x4
Cd (0.000, 0.000, 0.500) x4
Cd (0.250, 0.250, 0.750) x4
Ru (0.250, 0.250, 0.250) x4

Formation energy from the elements, eV/atom: 0.2082
Calculated volume, Å³/atom: 19.3
Crystal system: cubic
M_tot, μB per formula unit: 0.000
Mass density, g cm⁻³: 7.86
Calculated total energy, eV per atom: -3.4667

---

Entry 20:
Crystalline Ca2CdSb at its relaxed geometry. Source: the Alexandria database, functional GGA-PBEsol.

Cell lengths 5.049, 5.049, 4.221 Å; angles 90.00, 90.00, 90.00 degrees
Space group P4/mmm (No. 123)
Asymmetric unit:
Ca (0.000, 0.500, 0.000) x2
Cd (0.000, 0.000, 0.500) x1
Sb (0.500, 0.500, 0.500) x1

Calculated volume, Å³/atom: 26.9
Raw formation energy, eV per formula unit: -2.78
Crystal system: tetragonal
M_tot, μB per formula unit: 0.000
Mass density, g cm⁻³: 4.85
Calculated total energy, eV per atom: -3.2012
Excess energy over the best structure of this formula in the dataset, meV per atom: 14